[1]
Here is a geometry-optimized NdEr2Cu2Ge2 structure from the Alexandria database. Energies are from PBE-GGA.

```
data_NdEr2Cu2Ge2
_chemical_formula_sum 'Nd1 Er2 Cu2 Ge2'
_space_group_name_H-M_alt 'P 1'
_space_group_IT_number 1
_cell_length_a 4.3189
_cell_length_b 4.3189
_cell_length_c 9.5909
_cell_angle_alpha 76.99
_cell_angle_beta 76.99
_cell_angle_gamma 60.00
loop_
_space_group_symop_operation_xyz
'x,y,z'
loop_
_atom_site_label
_atom_site_fract_x
_atom_site_fract_y
_atom_site_fract_z
Nd1 0.0000 0.0000 0.0000
Er1 0.1278 0.1278 0.6166
Er2 0.8722 0.8722 0.3834
Cu1 0.5939 0.5939 0.2183
Cu2 0.4061 0.4061 0.7817
Ge1 0.7407 0.7407 0.7779
Ge2 0.2593 0.2593 0.2221
```

Computed properties:
For the volume, the calculation gives 21.4 Å³ per atom. Its energy of formation is -3.42 eV per formula unit. The density of states at the Fermi level comes out at 0.467 states/eV/atom. The calculation puts the theoretical density at 8337 kg/m³.

[2]
Here is a geometry-optimized Nd2ErCu2Ge2 structure from the Alexandria database. Energies are from PBE-GGA.

```
data_Nd2ErCu2Ge2
_chemical_formula_sum 'Nd2 Er1 Cu2 Ge2'
_space_group_name_H-M_alt 'P 1'
_space_group_IT_number 1
_cell_length_a 4.2453
_cell_length_b 4.2453
_cell_length_c 10.6058
_cell_angle_alpha 78.45
_cell_angle_beta 78.45
_cell_angle_gamma 60.00
loop_
_space_group_symop_operation_xyz
'x,y,z'
loop_
_atom_site_label
_atom_site_fract_x
_atom_site_fract_y
_atom_site_fract_z
Nd1 0.1199 0.1199 0.6402
Nd2 0.8801 0.8801 0.3598
Er1 0.0000 0.0000 0.0000
Cu1 0.6127 0.6127 0.1620
Cu2 0.3873 0.3873 0.8380
Ge1 0.7256 0.7256 0.8231
Ge2 0.2744 0.2744 0.1769
```

Computed properties:
For the volume, the calculation gives 23.0 Å³ per atom. Its energy of formation is -3.53 eV per formula unit. The density of states at the Fermi level comes out at 0.738 states/eV/atom. The calculation puts the theoretical density at 7507 kg/m³.

[3]
Here is a geometry-optimized ErCu2Ni2Ge structure from the Alexandria database. Energies are from PBE-GGA.

```
data_ErCu2Ni2Ge
_chemical_formula_sum 'Er1 Cu2 Ni2 Ge1'
_space_group_name_H-M_alt 'P 1'
_space_group_IT_number 1
_cell_length_a 4.3323
_cell_length_b 4.3323
_cell_length_c 5.4197
_cell_angle_alpha 90.00
_cell_angle_beta 90.00
_cell_angle_gamma 90.00
loop_
_space_group_symop_operation_xyz
'x,y,z'
loop_
_atom_site_label
_atom_site_fract_x
_atom_site_fract_y
_atom_site_fract_z
Er1 0.0000 0.0000 0.5000
Cu1 0.5000 0.5000 0.7382
Cu2 0.5000 0.5000 0.2618
Ni1 0.5000 0.0000 0.0000
Ni2 0.0000 0.5000 0.0000
Ge1 0.0000 0.0000 0.0000
```

Computed properties:
For the volume, the calculation gives 17.0 Å³ per atom. Its energy of formation is 0.25 eV per formula unit. The density of states at the Fermi level comes out at 0.883 states/eV/atom. The calculation puts the theoretical density at 7907 kg/m³.

[4]
Here is a geometry-optimized Er2CuNi4Ge3 structure from the Alexandria database. Energies are from PBE-GGA.

```
data_Er2CuNi4Ge3
_chemical_formula_sum 'Er2 Cu1 Ni4 Ge3'
_space_group_name_H-M_alt 'P 1'
_space_group_IT_number 1
_cell_length_a 4.0002
_cell_length_b 4.0002
_cell_length_c 9.8045
_cell_angle_alpha 90.00
_cell_angle_beta 90.00
_cell_angle_gamma 90.00
loop_
_space_group_symop_operation_xyz
'x,y,z'
loop_
_atom_site_label
_atom_site_fract_x
_atom_site_fract_y
_atom_site_fract_z
Er1 0.5000 0.0000 0.2543
Er2 0.0000 0.5000 0.7457
Cu1 0.5000 0.5000 0.5000
Ni1 0.5000 0.5000 0.0000
Ni2 0.0000 0.0000 0.0000
Ni3 0.5000 0.0000 0.6329
Ni4 0.0000 0.5000 0.3671
Ge1 0.0000 0.0000 0.5000
Ge2 0.5000 0.0000 0.8682
Ge3 0.0000 0.5000 0.1318
```

Computed properties:
For the volume, the calculation gives 15.7 Å³ per atom. Its energy of formation is -5.96 eV per formula unit. The density of states at the Fermi level comes out at 0.697 states/eV/atom. The calculation puts the theoretical density at 9005 kg/m³.

[5]
Here is a geometry-optimized Er2Cu2Ni5Ge structure from the Alexandria database. Energies are from PBE-GGA.

```
data_Er2Cu2Ni5Ge
_chemical_formula_sum 'Er4 Cu4 Ni10 Ge2'
_space_group_name_H-M_alt 'P 1'
_space_group_IT_number 1
_cell_length_a 3.5811
_cell_length_b 8.9683
_cell_length_c 8.9683
_cell_angle_alpha 90.00
_cell_angle_beta 90.00
_cell_angle_gamma 90.00
loop_
_space_group_symop_operation_xyz
'x,y,z'
loop_
_atom_site_label
_atom_site_fract_x
_atom_site_fract_y
_atom_site_fract_z
Er1 0.0000 0.6769 0.1769
Er2 0.0000 0.3231 0.8231
Er3 0.0000 0.1769 0.3231
Er4 0.0000 0.8231 0.6769
Cu1 0.0000 0.1202 0.6202
Cu2 0.0000 0.8798 0.3798
Cu3 0.0000 0.6202 0.8798
Cu4 0.0000 0.3798 0.1202
Ni1 0.5000 0.2013 0.0596
Ni2 0.5000 0.7987 0.9404
Ni3 0.5000 0.0596 0.7987
Ni4 0.5000 0.7013 0.4404
Ni5 0.5000 0.9404 0.2013
Ni6 0.5000 0.2987 0.5596
Ni7 0.5000 0.5596 0.7013
Ni8 0.5000 0.4404 0.2987
Ni9 0.5000 0.5000 0.0000
Ni10 0.5000 0.0000 0.5000
Ge1 0.0000 0.0000 0.0000
Ge2 0.0000 0.5000 0.5000
```

Computed properties:
For the volume, the calculation gives 14.4 Å³ per atom. Its energy of formation is -3.29 eV per formula unit. The density of states at the Fermi level comes out at 0.417 states/eV/atom. The calculation puts the theoretical density at 9544 kg/m³.

[6]
Here is a geometry-optimized ErCuNi4Ge2 structure from the Alexandria database. Energies are from PBE-GGA.

```
data_ErCuNi4Ge2
_chemical_formula_sum 'Er1 Cu1 Ni4 Ge2'
_space_group_name_H-M_alt 'P 1'
_space_group_IT_number 1
_cell_length_a 4.0030
_cell_length_b 4.0030
_cell_length_c 8.4700
_cell_angle_alpha 76.33
_cell_angle_beta 76.33
_cell_angle_gamma 60.00
loop_
_space_group_symop_operation_xyz
'x,y,z'
loop_
_atom_site_label
_atom_site_fract_x
_atom_site_fract_y
_atom_site_fract_z
Er1 0.0000 0.0000 0.0000
Cu1 0.5000 0.5000 0.5000
Ni1 0.4040 0.4040 0.7881
Ni2 0.8686 0.8686 0.3943
Ni3 0.1314 0.1314 0.6057
Ni4 0.5960 0.5960 0.2119
Ge1 0.7591 0.7591 0.7227
Ge2 0.2409 0.2409 0.2773
```

Computed properties:
For the volume, the calculation gives 14.1 Å³ per atom. Its energy of formation is -2.88 eV per formula unit. The density of states at the Fermi level comes out at 0.565 states/eV/atom. The calculation puts the theoretical density at 8970 kg/m³.